w) VASP calculation (meta-GGA SCAN) on NaCaAlF6 at its PBEsol-relaxed geometry.

- mass density (g cm⁻³) = 2.96
- D(E_F) (states/eV/atom) = 0.00

Geometry as CIF:
```
data_NaCaAlF6
_chemical_formula_sum 'Na8 Ca8 Al8 F48'
_cell_length_a 8.715
_cell_length_b 5.185
_cell_length_c 20.278
_cell_angle_alpha 90.00
_cell_angle_beta 91.96
_cell_angle_gamma 90.00
_space_group_name_H-M_alt 'P 1 21/c 1'
_space_group_IT_number 14
_space_group_name_Hall '-P 2ybc'
loop_
_atom_site_label
_atom_site_type_symbol
_atom_site_fract_x
_atom_site_fract_y
_atom_site_fract_z
_atom_site_occupancy
Na1 Na 0.024 0.242 0.319 1
Na2 Na 0.043 0.207 0.063 1
Ca1 Ca 0.362 0.240 0.689 1
Ca2 Ca 0.366 0.186 0.936 1
Al1 Al 0.256 0.689 0.073 1
Al2 Al 0.256 0.747 0.320 1
F1 F 0.080 0.721 0.533 1
F2 F 0.094 0.638 0.775 1
F3 F 0.155 0.553 0.382 1
F4 F 0.161 0.010 0.633 1
F5 F 0.234 0.534 0.627 1
F6 F 0.241 0.022 0.374 1
F7 F 0.254 0.043 0.771 1
F8 F 0.267 0.097 0.520 1
F9 F 0.377 0.633 0.517 1
F10 F 0.394 0.591 0.766 1
F11 F 0.430 0.624 0.364 1
F12 F 0.435 0.599 0.116 1
```

***

x) VASP calculation (meta-GGA SCAN) on NaCaAlF6 at its PBEsol-relaxed geometry.

- mass density (g cm⁻³) = 2.91
- D(E_F) (states/eV/atom) = 0.00

Geometry as CIF:
```
data_NaCaAlF6
_chemical_formula_sum 'Na3 Ca3 Al3 F18'
_cell_length_a 8.9358
_cell_length_b 8.9358
_cell_length_c 5.0489
_cell_angle_alpha 90.00
_cell_angle_beta 90.00
_cell_angle_gamma 120.00
_space_group_name_H-M_alt 'P 3 2 1'
_space_group_IT_number 150
_space_group_name_Hall 'P 3 2"'
loop_
_atom_site_label
_atom_site_type_symbol
_atom_site_fract_x
_atom_site_fract_y
_atom_site_fract_z
_atom_site_occupancy
Na1 Na 0.0000 0.7117 0.0000 1
Ca1 Ca 0.0000 0.3712 0.5000 1
Al1 Al 0.0000 0.0000 0.5000 1
Al2 Al 0.3333 0.6667 0.9979 1
F1 F 0.0848 0.1943 0.7013 1
F2 F 0.1425 0.5885 0.7888 1
F3 F 0.2228 0.4755 0.2069 1
```

***

Stability check: which of them is least stable? w).

***

w) VASP calculation (meta-GGA SCAN) on CaAlTe2I at its PBEsol-relaxed geometry.

- mass density (g cm⁻³) = 3.79
- D(E_F) (states/eV/atom) = 0.97

Geometry as CIF:
```
data_CaAlTe2I
_chemical_formula_sum 'Ca1 Al1 Te2 I1'
_cell_length_a 5.758
_cell_length_b 5.758
_cell_length_c 5.934
_cell_angle_alpha 90.00
_cell_angle_beta 90.00
_cell_angle_gamma 90.00
_space_group_name_H-M_alt 'P 4/m m m'
_space_group_IT_number 123
_space_group_name_Hall '-P 4 2'
loop_
_atom_site_label
_atom_site_type_symbol
_atom_site_fract_x
_atom_site_fract_y
_atom_site_fract_z
_atom_site_occupancy
Ca1 Ca 0.000 0.000 0.000 1
Al1 Al 0.500 0.500 0.500 1
Te1 Te 0.000 0.500 0.000 1
I1 I 0.000 0.000 0.500 1
```

***

x) VASP calculation (meta-GGA SCAN) on CaAlTe2I at its PBEsol-relaxed geometry.

- mass density (g cm⁻³) = 4.73
- D(E_F) (states/eV/atom) = 0.28

Geometry as CIF:
```
data_CaAlTe2I
_chemical_formula_sum 'Ca1 Al1 Te2 I1'
_cell_length_a 5.361
_cell_length_b 5.361
_cell_length_c 5.487
_cell_angle_alpha 90.00
_cell_angle_beta 90.00
_cell_angle_gamma 90.00
_space_group_name_H-M_alt 'P 4/m m m'
_space_group_IT_number 123
_space_group_name_Hall '-P 4 2'
loop_
_atom_site_label
_atom_site_type_symbol
_atom_site_fract_x
_atom_site_fract_y
_atom_site_fract_z
_atom_site_occupancy
Ca1 Ca 0.000 0.000 0.000 1
Al1 Al 0.500 0.500 0.500 1
Te1 Te 0.000 0.500 0.500 1
I1 I 0.500 0.500 0.000 1
```

***

Stability check: which of them is least stable? w).

***

w) VASP calculation (meta-GGA SCAN) on LiCaAl at its PBEsol-relaxed geometry.

- mass density (g cm⁻³) = 1.76
- D(E_F) (states/eV/atom) = 0.68

Geometry as CIF:
```
data_LiCaAl
_chemical_formula_sum 'Li1 Ca1 Al1'
_cell_length_a 4.9394
_cell_length_b 4.9394
_cell_length_c 3.3073
_cell_angle_alpha 90.00
_cell_angle_beta 90.00
_cell_angle_gamma 120.00
_space_group_name_H-M_alt 'P -6 m 2'
_space_group_IT_number 187
_space_group_name_Hall 'P -6 2'
loop_
_atom_site_label
_atom_site_type_symbol
_atom_site_fract_x
_atom_site_fract_y
_atom_site_fract_z
_atom_site_occupancy
Li1 Li 0.0000 0.0000 0.0000 1
Ca1 Ca 0.6667 0.3333 0.5000 1
Al1 Al 0.3333 0.6667 0.0000 1
```

***

x) VASP calculation (meta-GGA SCAN) on LiCaAl at its PBEsol-relaxed geometry.

- mass density (g cm⁻³) = 1.79
- D(E_F) (states/eV/atom) = 0.39

Geometry as CIF:
```
data_LiCaAl
_chemical_formula_sum 'Li2 Ca2 Al2'
_cell_length_a 3.552
_cell_length_b 3.552
_cell_length_c 10.874
_cell_angle_alpha 90.00
_cell_angle_beta 90.00
_cell_angle_gamma 90.00
_space_group_name_H-M_alt 'I 4 m m'
_space_group_IT_number 107
_space_group_name_Hall 'I 4 -2'
loop_
_atom_site_label
_atom_site_type_symbol
_atom_site_fract_x
_atom_site_fract_y
_atom_site_fract_z
_atom_site_occupancy
Li1 Li 0.000 0.000 0.000 1
Ca1 Ca 0.000 0.000 0.296 1
Al1 Al 0.000 0.000 0.612 1
```

***

y) VASP calculation (meta-GGA SCAN) on LiCaAl at its PBEsol-relaxed geometry.

- mass density (g cm⁻³) = 1.34
- D(E_F) (states/eV/atom) = 1.15

Geometry as CIF:
```
data_LiCaAl
_chemical_formula_sum 'Li4 Ca4 Al4'
_cell_length_a 7.151
_cell_length_b 7.151
_cell_length_c 7.151
_cell_angle_alpha 90.00
_cell_angle_beta 90.00
_cell_angle_gamma 90.00
_space_group_name_H-M_alt 'F -4 3 m'
_space_group_IT_number 216
_space_group_name_Hall 'F -4 2 3'
loop_
_atom_site_label
_atom_site_type_symbol
_atom_site_fract_x
_atom_site_fract_y
_atom_site_fract_z
_atom_site_occupancy
Li1 Li 0.000 0.000 0.000 1
Ca1 Ca 0.250 0.250 0.750 1
Al1 Al 0.000 0.000 0.500 1
```

***

Stability check: which of them is least stable? y).

***

w) VASP calculation (meta-GGA SCAN) on CaAl2Mo at its PBEsol-relaxed geometry.

- mass density (g cm⁻³) = 3.42
- D(E_F) (states/eV/atom) = 0.45

Geometry as CIF:
```
data_CaAl2Mo
_chemical_formula_sum 'Ca4 Al8 Mo4'
_cell_length_a 4.502
_cell_length_b 4.502
_cell_length_c 18.205
_cell_angle_alpha 90.00
_cell_angle_beta 90.00
_cell_angle_gamma 90.00
_space_group_name_H-M_alt 'I -4 2 d'
_space_group_IT_number 122
_space_group_name_Hall 'I -4 2bw'
loop_
_atom_site_label
_atom_site_type_symbol
_atom_site_fract_x
_atom_site_fract_y
_atom_site_fract_z
_atom_site_occupancy
Ca1 Ca 0.000 0.000 0.000 1
Al1 Al 0.131 0.250 0.625 1
Mo1 Mo 0.000 0.000 0.500 1
```

***

x) VASP calculation (meta-GGA SCAN) on CaAl2Mo at its PBEsol-relaxed geometry.

- mass density (g cm⁻³) = 4.27
- D(E_F) (states/eV/atom) = 0.70

Geometry as CIF:
```
data_CaAl2Mo
_chemical_formula_sum 'Ca3 Al6 Mo3'
_cell_length_a 2.9860
_cell_length_b 2.9860
_cell_length_c 28.7051
_cell_angle_alpha 90.00
_cell_angle_beta 90.00
_cell_angle_gamma 120.00
_space_group_name_H-M_alt 'R 3 m'
_space_group_IT_number 160
_space_group_name_Hall 'R 3 -2"'
loop_
_atom_site_label
_atom_site_type_symbol
_atom_site_fract_x
_atom_site_fract_y
_atom_site_fract_z
_atom_site_occupancy
Ca1 Ca 0.0000 0.0000 0.0000 1
Al1 Al 0.0000 0.0000 0.5043 1
Al2 Al 0.0000 0.0000 0.7601 1
Mo1 Mo 0.0000 0.0000 0.2442 1
```

***

y) VASP calculation (meta-GGA SCAN) on CaAl2Mo at its PBEsol-relaxed geometry.

- mass density (g cm⁻³) = 4.10
- D(E_F) (states/eV/atom) = 0.68

Geometry as CIF:
```
data_CaAl2Mo
_chemical_formula_sum 'Ca1 Al2 Mo1'
_cell_length_a 2.889
_cell_length_b 3.665
_cell_length_c 7.265
_cell_angle_alpha 90.00
_cell_angle_beta 90.00
_cell_angle_gamma 90.00
_space_group_name_H-M_alt 'P m m 2'
_space_group_IT_number 25
_space_group_name_Hall 'P 2 -2'
loop_
_atom_site_label
_atom_site_type_symbol
_atom_site_fract_x
_atom_site_fract_y
_atom_site_fract_z
_atom_site_occupancy
Ca1 Ca 0.000 0.000 0.000 1
Al1 Al 0.000 0.000 0.478 1
Al2 Al 0.500 0.500 0.684 1
Mo1 Mo 0.500 0.500 0.307 1
```

***

Stability check: which of them is least stable? w).